# TmAl2Fe9 | Alexandria | GGA-PBE | optimized geometry
data_TmAl2Fe9
_space_group_name_H-M_alt 'P 4/m b m'
_space_group_IT_number 127
_space_group_name_Hall '-P 4 2ab'
_cell_length_a 8.032
_cell_length_b 8.032
_cell_length_c 4.614
_cell_angle_alpha 90.00
_cell_angle_beta 90.00
_cell_angle_gamma 90.00
loop_
_atom_site_label
_atom_site_type_symbol
_atom_site_fract_x
_atom_site_fract_y
_atom_site_fract_z
Tm1 Tm 0.000 0.000 0.000
Al1 Al 0.121 0.379 0.000
Fe1 Fe 0.000 0.500 0.500
Fe2 Fe 0.066 0.210 0.500
Fe3 Fe 0.177 0.677 0.231
# - raw total energy (eV/atom) = -7.510
# - energy of formation (meV/atom) = -166
# - calculated density (g/cm³) = 8.1

# TmAl10Fe2 | Alexandria | GGA-PBE | optimized geometry
data_TmAl10Fe2
_space_group_name_H-M_alt 'C m c m'
_space_group_IT_number 63
_space_group_name_Hall '-C 2c 2'
_cell_length_a 8.918
_cell_length_b 10.100
_cell_length_c 8.947
_cell_angle_alpha 90.00
_cell_angle_beta 90.00
_cell_angle_gamma 90.00
loop_
_atom_site_label
_atom_site_type_symbol
_atom_site_fract_x
_atom_site_fract_y
_atom_site_fract_z
Tm1 Tm 0.000 0.127 0.250
Al1 Al 0.000 0.157 0.597
Al2 Al 0.000 0.375 0.049
Al3 Al 0.152 0.371 0.750
Al4 Al 0.225 0.360 0.250
Al5 Al 0.227 0.000 0.000
Fe1 Fe 0.250 0.250 0.000
# - raw total energy (eV/atom) = -4.878
# - energy of formation (meV/atom) = -353
# - calculated density (g/cm³) = 4.5

# Tm4Al12Fe | Alexandria | GGA-PBE | optimized geometry
data_Tm4Al12Fe
_space_group_name_H-M_alt 'I m -3 m'
_space_group_IT_number 229
_space_group_name_Hall '-I 4 2 3'
_cell_length_a 8.540
_cell_length_b 8.540
_cell_length_c 8.540
_cell_angle_alpha 90.00
_cell_angle_beta 90.00
_cell_angle_gamma 90.00
loop_
_atom_site_label
_atom_site_type_symbol
_atom_site_fract_x
_atom_site_fract_y
_atom_site_fract_z
Tm1 Tm 0.250 0.250 0.250
Al1 Al 0.000 0.000 0.279
Al2 Al 0.000 0.250 0.500
Fe1 Fe 0.000 0.000 0.000
# - raw total energy (eV/atom) = -4.616
# - energy of formation (meV/atom) = -424
# - calculated density (g/cm³) = 5.6

# TmAl6Fe4 | Alexandria | GGA-PBE | optimized geometry
data_TmAl6Fe4
_space_group_name_H-M_alt 'I -4 2 m'
_space_group_IT_number 121
_space_group_name_Hall 'I -4 2'
_cell_length_a 6.302
_cell_length_b 6.302
_cell_length_c 8.930
_cell_angle_alpha 90.00
_cell_angle_beta 90.00
_cell_angle_gamma 90.00
loop_
_atom_site_label
_atom_site_type_symbol
_atom_site_fract_x
_atom_site_fract_y
_atom_site_fract_z
Tm1 Tm 0.000 0.000 0.000
Al1 Al 0.000 0.500 0.000
Al2 Al 0.193 0.193 0.712
Fe1 Fe 0.154 0.154 0.431
# - raw total energy (eV/atom) = -5.739
# - energy of formation (meV/atom) = -214
# - calculated density (g/cm³) = 5.2